Record 1
MgMnRe2, optimized geometry, DFT PBE; mass density = 12.7 g/cm3; volume = 59 Å³/cell; SG = Cmmm (65); energy of formation = 0.75 eV per formula unit; E = -8.727 eV/atom
1.0
-1.480 -1.330 -1.776
2.510 -0.891 -0.133
-1.834 -6.072 6.076
Mg Mn Re
1 1 2
direct
0.500 0.500 0.250 Mg
0.500 0.500 0.750 Mn
0.000 0.000 0.981 Re
0.000 0.000 0.519 Re

---

Record 2
MgMnRe2, optimized geometry, DFT PBE; mass density = 12.8 g/cm3; volume = 58 Å³/cell; SG = P4/mmm (123); energy of formation = 0.98 eV per formula unit; E = -8.669 eV/atom
1.0
2.722 0.000 0.000
0.000 2.722 0.000
0.000 0.000 7.895
Mg Mn Re
1 1 2
direct
0.500 0.500 0.250 Mg
0.500 0.500 0.750 Mn
0.000 0.000 0.968 Re
0.000 0.000 0.532 Re

---

Record 3
MgMnRe2, optimized geometry, DFT PBE; mass density = 13.1 g/cm3; volume = 57 Å³/cell; SG = F-43m (216); energy of formation = 0.92 eV per formula unit; E = -8.686 eV/atom
1.0
4.329 -0.011 0.000
0.020 4.329 0.000
-2.174 -2.159 3.058
Mg Mn Re
1 1 2
direct
0.500 0.500 0.000 Mg
0.750 0.250 0.500 Mn
0.000 0.000 0.000 Re
0.250 0.750 0.500 Re

---

Record 4
Mg2MnRe, optimized geometry, DFT PBE; mass density = 7.5 g/cm3; volume = 64 Å³/cell; SG = Pmmm (47); energy of formation = 1.45 eV per formula unit; excess energy over the best structure of this formula in the dataset = 252.5 meV/atom; E = -5.838 eV/atom
1.0
2.678 0.000 0.000
0.000 4.409 0.000
0.000 0.000 5.459
Mg Mn Re
2 1 1
direct
0.000 0.000 0.996 Mg
0.000 0.000 0.504 Mg
0.500 0.500 0.250 Mn
0.500 0.500 0.750 Re

---

Record 5
MgMnRe2, optimized geometry, DFT PBE; mass density = 12.5 g/cm3; volume = 60 Å³/cell; SG = P4/mmm (123); energy of formation = 1.43 eV per formula unit; E = -8.556 eV/atom
1.0
-0.484 -0.827 -2.914
0.981 -2.835 0.642
-5.957 -1.727 1.478
Mg Mn Re
1 1 2
direct
0.500 0.500 0.250 Mg
0.500 0.500 0.750 Mn
0.000 0.000 0.955 Re
0.000 0.000 0.545 Re

---

Record 6
MgMnRe2, optimized geometry, DFT PBE; mass density = 12.7 g/cm3; volume = 59 Å³/cell; SG = I4/mmm (139); energy of formation = 1.22 eV per formula unit; E = -8.611 eV/atom
1.0
-3.634 -1.591 -3.017
-4.095 -1.740 2.245
2.820 4.093 0.363
Mg Mn Re
1 1 2
direct
0.250 0.750 0.500 Mg
0.750 0.250 0.500 Mn
0.000 0.000 0.000 Re
0.500 0.500 0.000 Re

---

Record 7
MgMn2Re, optimized geometry, DFT PBE; mass density = 8.7 g/cm3; volume = 61 Å³/cell; SG = R-3m (166); energy of formation = 1.31 eV per formula unit; E = -7.769 eV/atom
1.0
-5.985 6.344 -1.901
-7.372 4.092 -2.931
-7.563 4.738 -0.174
Mg Mn Re
1 2 1
direct
0.750 0.750 0.750 Mg
0.993 0.993 0.993 Mn
0.507 0.507 0.507 Mn
0.250 0.250 0.250 Re

---

Record 8
MgMn2Re, optimized geometry, DFT PBE; mass density = 9.0 g/cm3; volume = 59 Å³/cell; SG = C2/m (12); energy of formation = 1.42 eV per formula unit; E = -7.741 eV/atom
1.0
-3.104 -3.158 1.313
-1.665 -2.580 3.451
-3.444 3.477 1.378
Mg Mn Re
1 2 1
direct
0.750 0.750 0.750 Mg
0.000 0.000 0.024 Mn
0.500 0.500 0.476 Mn
0.250 0.250 0.250 Re

---

Record 9
Mg2MnRe, optimized geometry, DFT PBE; mass density = 7.4 g/cm3; volume = 65 Å³/cell; SG = Cmmm (65); energy of formation = 1.43 eV per formula unit; excess energy over the best structure of this formula in the dataset = 247.0 meV/atom; E = -5.844 eV/atom
1.0
5.146 -0.023 0.000
-2.179 4.662 0.000
0.000 0.000 2.700
Mg Mn Re
2 1 1
direct
0.000 0.000 0.000 Mg
0.500 0.500 0.000 Mg
0.500 0.000 0.500 Mn
0.000 0.500 0.500 Re

---

Record 10
Mg2MnRe, optimized geometry, DFT PBE; mass density = 6.9 g/cm3; volume = 139 Å³/cell; SG = I-42d (122); energy of formation = 3.74 eV per formula unit; excess energy over the best structure of this formula in the dataset = 823.8 meV/atom; E = -5.267 eV/atom
1.0
-4.534 -1.783 -5.364
-0.351 -6.774 2.548
-4.506 -3.600 0.110
Re Mg Mn
2 4 2
direct
0.000 0.000 0.000 Re
0.750 0.250 0.500 Re
0.616 0.125 0.250 Mg
0.134 0.625 0.250 Mg
0.375 0.384 0.750 Mg
0.875 0.866 0.750 Mg
0.500 0.500 0.000 Mn
0.250 0.750 0.500 Mn

---

Record 11
MgMn2Re, optimized geometry, DFT PBE; mass density = 9.1 g/cm3; volume = 59 Å³/cell; SG = Cmmm (65); energy of formation = 1.08 eV per formula unit; E = -7.825 eV/atom
1.0
-2.490 0.043 1.011
1.627 -0.898 1.942
1.218 7.962 2.663
Mg Mn Re
1 2 1
direct
0.500 0.500 0.750 Mg
0.000 0.000 0.018 Mn
0.000 0.000 0.482 Mn
0.500 0.500 0.250 Re

---

Record 12
MgMnRe2, optimized geometry, DFT PBE; mass density = 12.7 g/cm3; volume = 59 Å³/cell; SG = Cmmm (65); energy of formation = 1.41 eV per formula unit; E = -8.562 eV/atom
1.0
-0.794 -0.443 4.954
4.789 0.526 -1.466
-0.225 2.593 0.196
Mg Mn Re
1 1 2
direct
0.500 0.000 0.500 Mg
0.000 0.500 0.500 Mn
0.000 0.000 0.000 Re
0.500 0.500 0.000 Re

---

Record 13
MgMnRe2, optimized geometry, DFT PBE; mass density = 12.3 g/cm3; volume = 61 Å³/cell; SG = Pmm2 (25); energy of formation = 1.14 eV per formula unit; E = -8.630 eV/atom
1.0
2.789 0.000 0.000
0.000 3.937 0.000
0.000 0.000 5.563
Mg Mn Re
1 1 2
direct
0.000 0.000 0.512 Mg
0.500 0.500 0.754 Mn
0.000 0.000 0.012 Re
0.500 0.500 0.223 Re

---

Record 14
MgMnRe2, optimized geometry, DFT PBE; mass density = 12.7 g/cm3; volume = 59 Å³/cell; SG = C2/m (12); energy of formation = 1.06 eV per formula unit; E = -8.650 eV/atom
1.0
5.180 0.009 0.032
-2.325 4.595 -0.048
0.529 0.744 2.476
Mg Mn Re
1 1 2
direct
0.000 0.500 0.500 Mg
0.500 0.500 0.000 Mn
0.000 0.000 0.000 Re
0.500 0.000 0.500 Re

---

Record 15
MgMn2Re, optimized geometry, DFT PBE; mass density = 9.8 g/cm3; volume = 54 Å³/cell; SG = Imm2 (44); energy of formation = 1.02 eV per formula unit; E = -7.841 eV/atom
1.0
5.081 0.038 -0.031
4.257 2.775 -0.031
1.876 0.565 3.874
Mg Mn Re
1 2 1
direct
0.255 0.255 0.245 Mg
0.019 0.019 0.981 Mn
0.745 0.745 0.755 Mn
0.481 0.481 0.519 Re

---

Record 16
MgMnRe2, optimized geometry, DFT PBE; mass density = 12.6 g/cm3; volume = 60 Å³/cell; SG = Pmmm (47); energy of formation = 1.13 eV per formula unit; E = -8.632 eV/atom
1.0
3.207 0.000 0.000
0.000 4.219 0.000
0.000 0.000 4.403
Mg Mn Re
1 1 2
direct
0.500 0.000 0.500 Mg
0.000 0.500 0.500 Mn
0.000 0.000 0.000 Re
0.500 0.500 0.000 Re

---

Record 17
MgMnRe2, optimized geometry, DFT PBE; mass density = 12.8 g/cm3; volume = 59 Å³/cell; SG = P4mm (99); energy of formation = 1.02 eV per formula unit; E = -8.660 eV/atom
1.0
-0.664 -2.944 -0.075
1.554 -0.285 -2.573
5.346 -1.292 3.372
Mg Mn Re
1 1 2
direct
0.000 0.000 0.513 Mg
0.500 0.500 0.780 Mn
0.000 0.000 0.979 Re
0.500 0.500 0.229 Re

---

Record 18
Mg2MnRe, optimized geometry, DFT PBE; mass density = 7.4 g/cm3; volume = 65 Å³/cell; SG = Cmmm (65); energy of formation = 1.35 eV per formula unit; excess energy over the best structure of this formula in the dataset = 225.7 meV/atom; E = -5.865 eV/atom
1.0
-1.793 0.915 -1.836
1.594 -1.788 -1.298
-5.776 -6.789 2.259
Mg Mn Re
2 1 1
direct
0.000 0.000 0.999 Mg
0.000 0.000 0.501 Mg
0.500 0.500 0.250 Mn
0.500 0.500 0.750 Re

---

Record 19
MgMnRe2, optimized geometry, DFT PBE; mass density = 11.5 g/cm3; volume = 130 Å³/cell; SG = I-42d (122); energy of formation = 2.84 eV per formula unit; E = -8.204 eV/atom
1.0
-0.367 2.569 -6.692
2.396 -6.271 -2.539
-1.363 -2.683 -4.804
Re Mg Mn
4 2 2
direct
0.690 0.125 0.250 Re
0.060 0.625 0.250 Re
0.375 0.310 0.750 Re
0.875 0.940 0.750 Re
0.500 0.500 0.000 Mg
0.250 0.750 0.500 Mg
0.000 0.000 0.000 Mn
0.750 0.250 0.500 Mn

---

Record 20
MgMn2Re, optimized geometry, DFT PBE; mass density = 9.5 g/cm3; volume = 56 Å³/cell; SG = Cmm2 (35); energy of formation = 1.19 eV per formula unit; E = -7.797 eV/atom
1.0
-2.336 -1.223 0.195
1.861 -1.828 0.431
-0.215 1.716 8.207
Mg Mn Re
1 2 1
direct
0.500 0.500 0.758 Mg
0.000 0.000 0.027 Mn
0.500 0.500 0.239 Mn
0.000 0.000 0.476 Re

---

Record 21
Mg2MnRe, optimized geometry, DFT PBE; mass density = 7.4 g/cm3; volume = 65 Å³/cell; SG = R-3m (166); energy of formation = 1.49 eV per formula unit; excess energy over the best structure of this formula in the dataset = 261.2 meV/atom; E = -5.830 eV/atom
1.0
-3.524 -0.436 8.931
-0.803 -0.858 9.539
-1.798 1.767 9.274
Mg Mn Re
2 1 1
direct
0.000 0.000 0.000 Mg
0.500 0.500 0.500 Mg
0.250 0.250 0.250 Mn
0.750 0.750 0.750 Re

---

Record 22
MgMn2Re, optimized geometry, DFT PBE; mass density = 9.4 g/cm3; volume = 57 Å³/cell; SG = F-43m (216); energy of formation = 1.34 eV per formula unit; E = -7.759 eV/atom
1.0
4.308 0.000 0.000
2.154 3.731 0.000
2.154 1.244 3.518
Mg Mn Re
1 2 1
direct
0.500 0.500 0.500 Mg
0.000 0.000 0.000 Mn
0.250 0.250 0.250 Mn
0.750 0.750 0.750 Re

---

Record 23
MgMn2Re2, optimized geometry, DFT PBE; mass density = 11.7 g/cm3; volume = 143 Å³/cell; SG = P4/mbm (127); energy of formation = 0.98 eV per formula unit; excess energy over the best structure of this formula in the dataset = 0.0 meV/atom; E = -8.770 eV/atom
1.0
7.255 0.000 0.000
0.000 7.255 0.000
0.000 0.000 2.721
Re Mg Mn
4 2 4
direct
0.159 0.659 0.500 Re
0.659 0.841 0.500 Re
0.841 0.341 0.500 Re
0.341 0.159 0.500 Re
0.000 0.000 0.000 Mg
0.500 0.500 0.000 Mg
0.370 0.870 0.000 Mn
0.870 0.630 0.000 Mn
0.630 0.130 0.000 Mn
0.130 0.370 0.000 Mn

---

Record 24
MgMn2Re, optimized geometry, DFT PBE; mass density = 9.3 g/cm3; volume = 57 Å³/cell; SG = P4mm (99); energy of formation = 1.00 eV per formula unit; E = -7.845 eV/atom
1.0
2.729 0.000 0.000
0.000 2.729 0.000
0.000 0.000 7.675
Mg Mn Re
1 2 1
direct
0.500 0.500 0.754 Mg
0.000 0.000 0.038 Mn
0.500 0.500 0.242 Mn
0.000 0.000 0.466 Re

---

Record 25
MgMnRe2, optimized geometry, DFT PBE; mass density = 13.0 g/cm3; volume = 58 Å³/cell; SG = Immm (71); energy of formation = 0.79 eV per formula unit; E = -8.717 eV/atom
1.0
-4.537 -2.300 0.563
-3.126 -2.484 3.201
-3.136 2.452 1.847
Mg Mn Re
1 1 2
direct
0.750 0.750 0.750 Mg
0.250 0.250 0.250 Mn
0.985 0.985 0.015 Re
0.515 0.515 0.485 Re

---

Record 26
Mg2MnRe, optimized geometry, DFT PBE; mass density = 7.7 g/cm3; volume = 63 Å³/cell; SG = P4/mmm (123); energy of formation = 1.63 eV per formula unit; excess energy over the best structure of this formula in the dataset = 297.4 meV/atom; E = -5.793 eV/atom
1.0
-3.616 -2.437 -0.552
2.120 -2.855 -1.284
0.353 -1.322 3.524
Mg Mn Re
2 1 1
direct
0.000 0.000 0.000 Mg
0.000 0.500 0.500 Mg
0.500 0.500 0.000 Mn
0.500 0.000 0.500 Re

---

Record 27
MgMn2Re2, optimized geometry, DFT PBE; mass density = 10.3 g/cm3; volume = 82 Å³/cell; SG = I4/mmm (139); energy of formation = 2.08 eV per formula unit; excess energy over the best structure of this formula in the dataset = 220.8 meV/atom; E = -8.550 eV/atom
1.0
4.036 0.000 0.000
0.000 4.036 0.000
2.018 2.018 5.020
Re Mg Mn
2 1 2
direct
0.376 0.376 0.248 Re
0.624 0.624 0.752 Re
0.000 0.000 0.000 Mg
0.750 0.250 0.500 Mn
0.250 0.750 0.500 Mn

---

Record 28
Mg2MnRe, optimized geometry, DFT PBE; mass density = 7.5 g/cm3; volume = 64 Å³/cell; SG = Cm (8); energy of formation = 1.32 eV per formula unit; excess energy over the best structure of this formula in the dataset = 219.5 meV/atom; E = -5.871 eV/atom
1.0
-1.587 2.471 3.700
-3.721 1.093 2.698
0.790 -3.770 3.502
Mg Mn Re
2 1 1
direct
0.995 0.995 0.007 Mg
0.754 0.754 0.753 Mg
0.503 0.503 0.464 Mn
0.247 0.247 0.277 Re

---

Record 29
Mg2MnRe, optimized geometry, DFT PBE; mass density = 7.6 g/cm3; volume = 64 Å³/cell; SG = P2/m (10); energy of formation = 1.36 eV per formula unit; excess energy over the best structure of this formula in the dataset = 228.4 meV/atom; E = -5.862 eV/atom
1.0
4.589 0.000 0.000
0.000 2.690 -0.069
0.000 1.075 5.123
Mg Mn Re
2 1 1
direct
0.000 0.021 0.997 Mg
0.000 0.479 0.503 Mg
0.500 0.250 0.250 Mn
0.500 0.750 0.750 Re

---

Record 30
MgMnRe3, optimized geometry, DFT PBE; mass density = 11.9 g/cm3; volume = 89 Å³/cell; SG = Pm-3m (221); energy of formation = 6.66 eV per formula unit; excess energy over the best structure of this formula in the dataset = 0.0 meV/atom; E = -8.290 eV/atom
1.0
-1.224 3.416 2.593
1.247 -2.297 3.614
4.104 1.716 -0.324
Re Mg Mn
3 1 1
direct
0.000 0.500 0.000 Re
0.000 0.000 0.500 Re
0.500 0.000 0.000 Re
0.500 0.500 0.500 Mg
0.000 0.000 0.000 Mn